DFT (PBE) results for a geometry-optimized PmPr6Nd3Dy2 structure.

a b c (Å): 6.374 6.374 12.134
angles (deg): 95.03 95.03 120.01
Atoms (fractional coordinates):
Pm1 0.000 0.000 0.000
Pr1 0.083 0.417 0.247
Pr2 0.251 0.251 0.753
Pr3 0.417 0.083 0.247
Pr4 0.583 0.917 0.753
Pr5 0.749 0.749 0.247
Pr6 0.917 0.583 0.753
Nd1 0.167 0.833 0.500
Nd2 0.500 0.500 0.500
Nd3 0.833 0.167 0.500
Dy1 0.333 0.667 0.000
Dy2 0.667 0.333 0.000

Properties
- Total energy: -56.78 eV for the cell shown
- Calculated density: 6.9 g/cm³
- SG: C2/m, No. 12
- E_form: 13 meV/atom